A plane-wave DFT calculation with PBE was carried out for a relaxed ScCd2Cl crystal.

Cell lengths 5.997, 3.920, 3.920 Å; angles 90.00, 90.00, 90.00 degrees
Positions (direct):
Cd 0.000 0.500 0.500
Sc 0.500 0.000 0.500
Cd 0.000 0.000 0.000
Cl 0.500 0.500 0.000

Calculated values
Calculated volume, Å³ per cell: 92.2
Offset from the most stable computed form, eV per atom: 0.256
E_form (uncorrected), eV/atom: -0.33
SG: P4/mmm (123)

***

A plane-wave DFT calculation with PBE was carried out for a relaxed LiCePm2 crystal.

Cell lengths 3.344, 3.344, 12.338 Å; angles 82.21, 82.21, 60.00 degrees
Positions (direct):
Pm 0.089 0.089 0.733
Ce 0.000 0.000 0.000
Pm 0.911 0.911 0.267
Li 0.500 0.500 0.500

Calculated values
Calculated volume, Å³ per cell: 118.0
Offset from the most stable computed form, eV per atom: 0.177
SG: R-3m (166)

***

A plane-wave DFT calculation with PBE was carried out for a relaxed ZnCuF2 crystal.

Cell lengths 4.973, 4.973, 6.020 Å; angles 65.60, 65.60, 90.00 degrees
Positions (direct):
Zn 0.000 0.000 0.000
F 0.875 0.899 0.750
Cu 0.250 0.750 0.500
Zn 0.750 0.250 0.500
F 0.101 0.625 0.250
F 0.649 0.125 0.250
F 0.375 0.351 0.750
Cu 0.500 0.500 0.000

Calculated values
Calculated volume, Å³ per cell: 120.8
Offset from the most stable computed form, eV per atom: 0.076
E_form (uncorrected), eV/atom: -1.07
SG: I-42d (122)

***

A plane-wave DFT calculation with PBE was carried out for a relaxed Pr4DyTm3 crystal.

Cell lengths 6.303, 7.341, 11.589 Å; angles 90.00, 90.00, 90.00 degrees
Positions (direct):
Pr 0.139 0.871 0.000
Pr 0.150 0.868 0.500
Tm 0.481 0.382 0.750
Pr 0.984 0.129 0.254
Pr 0.484 0.871 0.754
Tm 0.647 0.617 0.000
Pr 0.484 0.871 0.246
Tm 0.147 0.383 0.500
Tm 0.981 0.618 0.750
Dy 0.650 0.621 0.500
Pr 0.984 0.129 0.746
Pr 0.639 0.129 0.500
Tm 0.481 0.382 0.250
Dy 0.150 0.379 0.000
Tm 0.981 0.618 0.250
Pr 0.650 0.132 0.000

Calculated values
Final energy, eV/cell: -73.8
Calculated volume, Å³ per cell: 536.2
SG: Pmn2_1 (31)

***

A plane-wave DFT calculation with PBE was carried out for a relaxed CrNi2Ru crystal.

Cell lengths 4.093, 4.093, 4.093 Å; angles 60.00, 60.00, 60.00 degrees
Positions (direct):
Ru 0.750 0.750 0.750
Ni 0.000 0.000 0.000
Ni 0.250 0.250 0.250
Cr 0.500 0.500 0.500

Calculated values
Final energy, eV/cell: -29.8
Calculated volume, Å³ per cell: 48.5
SG: F-43m (216)

***

A plane-wave DFT calculation with PBE was carried out for a relaxed SrFeRu crystal.

Cell lengths 3.909, 6.228, 6.179 Å; angles 87.81, 71.58, 108.26 degrees
Positions (direct):
Sr 0.649 0.946 0.230
Fe 0.224 0.712 0.847
Ru 0.814 0.667 0.623
Ru 0.917 0.514 0.261
Sr 0.081 0.234 0.654
Fe 0.507 0.469 0.037

Calculated values
Calculated volume, Å³ per cell: 133.9
Offset from the most stable computed form, eV per atom: 0.020
SG: C2/m (12)

***

Repeat the sixth record exactly.
A plane-wave DFT calculation with PBE was carried out for a relaxed SrFeRu crystal.

Cell lengths 3.909, 6.228, 6.179 Å; angles 87.81, 71.58, 108.26 degrees
Positions (direct):
Sr 0.649 0.946 0.230
Fe 0.224 0.712 0.847
Ru 0.814 0.667 0.623
Ru 0.917 0.514 0.261
Sr 0.081 0.234 0.654
Fe 0.507 0.469 0.037

Calculated values
Calculated volume, Å³ per cell: 133.9
Offset from the most stable computed form, eV per atom: 0.020
SG: C2/m (12)

***

Question: What is the formula in the sixth record?
Answer: SrFeRu